[1]
First-principles (PBE) data for a relaxed Rb8SeI5 crystal, as listed in the Alexandria database.

POSCAR file:
```
Rb8SeI5
1.0
-5.558 5.558 5.581
5.558 -5.558 5.581
5.558 5.558 -5.581
Rb Se I
8 1 5
Cartesian
6.329 -3.333 3.395
2.225 -0.771 2.186
4.807 1.875 -0.360
8.891 0.771 2.186
3.683 -0.751 5.941
1.875 6.309 0.360
4.787 3.333 3.395
0.751 3.683 5.221
5.558 0.000 2.791
1.313 2.787 1.491
0.000 0.000 5.581
-2.771 4.245 4.090
-1.313 8.329 1.491
2.771 6.871 4.090
```

Computed properties:
Formation energy from raw total energies = -1.236 eV per atom

=====

[2]
First-principles (PBE) data for a relaxed Rb2Se2I crystal, as listed in the Alexandria database.

POSCAR file:
```
Rb2Se2I
1.0
8.369 0.000 0.000
0.000 8.369 0.000
0.000 0.000 5.079
Rb Se I
4 4 2
Cartesian
1.222 2.962 0.000
2.962 7.147 0.000
5.407 1.222 0.000
7.147 5.407 0.000
1.427 5.612 2.540
2.757 1.427 2.540
5.612 6.942 2.540
6.942 2.757 2.540
0.000 0.000 2.540
4.185 4.185 2.540
```

Computed properties:
Distance to the lowest polymorph of the same formula = 271.3 meV/atom
Formation energy from raw total energies = -0.625 eV per atom

=====

[3]
First-principles (PBE) data for a relaxed RbSe3I crystal, as listed in the Alexandria database.

POSCAR file:
```
RbSe3I
1.0
5.546 0.000 0.000
0.000 5.546 0.000
0.000 0.000 5.546
Rb Se I
1 3 1
Cartesian
0.000 0.000 0.000
0.000 2.773 2.773
2.773 0.000 2.773
2.773 2.773 0.000
2.773 2.773 2.773
```

Computed properties:
Distance to the lowest polymorph of the same formula = 0.0 meV/atom
Formation energy from raw total energies = 0.055 eV per atom

=====

> Among the records above, which one has the lowest formation energy from raw total energies?

Rb8SeI5